(1)
The following is a DFT calculation (GGA-PBE) of a geometry-optimized Tl5SbSe6 structure.

- Total DFT energy (no corrections): -3.354 eV/atom

a b c (Å): 7.316 12.740 7.804
angles (deg): 90.00 108.10 90.00
Space group C2/m (No. 12)
Inequivalent atoms, fractional coordinates:
Tl1 0.000 0.000 0.000 x2
Tl2 0.000 0.165 0.500 x4
Tl3 0.000 0.333 0.000 x4
Sb1 0.000 0.500 0.500 x2
Se1 0.237 0.336 0.719 x8
Se2 0.247 0.000 0.722 x4

---

(2)
The following is a DFT calculation (GGA-PBE) of a geometry-optimized TlSb4Se8 structure.

- Total DFT energy (no corrections): -3.790 eV/atom

a b c (Å): 11.813 11.813 11.813
angles (deg): 90.00 90.00 90.00
Space group F-43m (No. 216)
Inequivalent atoms, fractional coordinates:
Tl1 0.000 0.000 0.000 x4
Sb1 0.116 0.116 0.616 x16
Se1 0.120 0.120 0.380 x16
Se2 0.132 0.132 0.868 x16